Below is crystalline CsMnF3 at its relaxed geometry, with properties calculated at the PBE+U level.

Computed properties:
spin magnetization	10.00	Bohr magnetons per cell
E_tot	-5.01	eV per atom

Geometry as CIF:
```
data_CsMnF3
_cell_length_a 4.5609
_cell_length_b 4.5609
_cell_length_c 9.1824
_cell_angle_alpha 90.00
_cell_angle_beta 90.00
_cell_angle_gamma 120.00
_space_group_name_H-M_alt 'P 63/m m c'
_space_group_IT_number 194
_space_group_name_Hall '-P 6c 2c'
loop_
_atom_site_label
_atom_site_type_symbol
_atom_site_fract_x
_atom_site_fract_y
_atom_site_fract_z
_atom_site_occupancy
Cs1 Cs 0.3333 0.6667 0.2500 1
Mn1 Mn 0.0000 0.0000 0.0000 1
F1 F 0.0000 0.0000 0.2500 1
F2 F 0.3333 0.6667 0.5562 1
```